Record 1
This record from Alexandria via LeMat-Bulk describes a relaxed structure of Pm3Pr2SmSb6. The functional is PBE.

```
Pm3Pr2SmSb6
1.0
9.829 -2.256 0.000
9.829 2.256 0.000
-2.068 0.000 8.779
Pm Pr Sm Sb
3 2 1 6
Cartesian
0.000 0.000 0.000
5.165 0.000 5.850
12.424 0.000 2.929
6.215 0.000 1.468
11.373 0.000 7.311
-1.034 0.000 4.389
3.083 0.000 0.751
2.065 0.000 5.093
8.257 0.000 6.569
9.332 0.000 2.209
15.524 0.000 3.685
14.505 0.000 8.028
```

Summary:
Magnetization, μB per formula unit: 0.00
Energy relative to the elements, uncorrected, eV/atom: -1.19
SG: No. 12
Crystal system: monoclinic


Record 2
This record from Alexandria via LeMat-Bulk describes a relaxed structure of PmPr2Sm3Sb6. The functional is PBE.

```
PmPr2Sm3Sb6
1.0
9.813 -2.253 0.000
9.813 2.253 0.000
-2.065 0.000 8.764
Pm Pr Sm Sb
1 2 3 6
Cartesian
0.000 0.000 0.000
5.171 0.000 5.847
12.390 0.000 2.917
-1.033 0.000 4.382
6.191 0.000 1.459
11.371 0.000 7.305
2.038 0.000 5.138
3.108 0.000 0.698
9.268 0.000 2.192
8.293 0.000 6.572
14.453 0.000 8.066
15.523 0.000 3.626
```

Summary:
Magnetization, μB per formula unit: 0.00
Energy relative to the elements, uncorrected, eV/atom: -1.18
SG: No. 12
Crystal system: monoclinic